1.
Entry from Alexandria via LeMat-Bulk: a relaxed structure of RbHfSb2Te (PBE-GGA).

Cell: 5.6047 5.6047 5.7089 Å, 90.00 90.00 90.00°
With the nearest neighbours (Å) after each atom.
Element x y z (fractional)
Rb 0.0000 0.0000 0.0000  4 Te 3.96, 8 Sb 4.00
Hf 0.5000 0.5000 0.5000  4 Sb 2.80, 2 Te 2.85
Sb 0.0000 0.5000 0.5000  2 Hf 2.80
Sb 0.5000 0.0000 0.5000  2 Hf 2.80
Te 0.5000 0.5000 0.0000  2 Hf 2.85

Calculated values
energy relative to the lowest polymorph listed for this composition	0	meV/atom
SG	P4/mmm, No. 123
formation energy without anion corrections	-307.8	meV/atom
calculated volume	35.9	Å³ per atom
M_tot	0.00	μB per formula unit
crystal system	tetragonal

***

2.
Entry from Alexandria via LeMat-Bulk: a relaxed structure of Be2NbCo2 (PBE-GGA).

Cell: 6.4665 6.4665 2.6496 Å, 90.00 90.00 90.00°
With the nearest neighbours (Å) after each atom.
Element x y z (fractional)
Be 0.1496 0.3504 0.0000  6 Co 2.30-2.32
Be 0.3504 0.8504 0.0000  6 Co 2.30-2.32
Be 0.6496 0.1496 0.0000  6 Co 2.30-2.32
Be 0.8504 0.6496 0.0000  6 Co 2.30-2.32
Nb 0.0000 0.0000 0.5000  4 Co 2.49, 2 Nb 2.65
Nb 0.5000 0.5000 0.5000  4 Co 2.49, 2 Nb 2.65
Co 0.1416 0.6416 0.5000  6 Be 2.30-2.32, 2 Nb 2.49
Co 0.3584 0.1416 0.5000  6 Be 2.30-2.32, 2 Nb 2.49
Co 0.6416 0.8584 0.5000  6 Be 2.30-2.32, 2 Nb 2.49
Co 0.8584 0.3584 0.5000  6 Be 2.30-2.32, 2 Nb 2.49

Calculated values
energy relative to the lowest polymorph listed for this composition	105	meV/atom
energy of formation from the pure elements	-0.10	eV/atom
SG	P4/mbm, No. 127
calculated volume	11.1	Å³ per atom
M_tot	0.00	μB per formula unit
crystal system	tetragonal

***

3.
Entry from Alexandria via LeMat-Bulk: a relaxed structure of KZnH6Pt (PBE-GGA).

Cell: 4.7329 4.7329 5.4936 Å, 90.00 90.00 120.00°
With the nearest neighbours (Å) after each atom.
Element x y z (fractional)
K 0.0000 0.0000 0.0000  6 H 2.55
Zn 0.3333 0.6667 0.5000  6 H 1.87
H 0.4186 0.0254 0.6945  1 Pt 1.71, 1 Zn 1.87
H 0.4186 0.3932 0.3055  1 Pt 1.71, 1 Zn 1.87
H 0.6068 0.0254 0.3055  1 Pt 1.71, 1 Zn 1.87
H 0.6068 0.5814 0.6945  1 Pt 1.71, 1 Zn 1.87
H 0.9746 0.3932 0.6945  1 Pt 1.71, 1 Zn 1.87
H 0.9746 0.5814 0.3055  1 Pt 1.71, 1 Zn 1.87
Pt 0.6667 0.3333 0.5000  6 H 1.71

Calculated values
total energy	-29.6	eV per cell
SG	P312, No. 149
calculated volume	11.8	Å³ per atom
M_tot	0.00	μB per formula unit
crystal system	trigonal

***

What did the second record say?
Entry from Alexandria via LeMat-Bulk: a relaxed structure of Be2NbCo2 (PBE-GGA).

Cell: 6.4665 6.4665 2.6496 Å, 90.00 90.00 90.00°
With the nearest neighbours (Å) after each atom.
Element x y z (fractional)
Be 0.1496 0.3504 0.0000  6 Co 2.30-2.32
Be 0.3504 0.8504 0.0000  6 Co 2.30-2.32
Be 0.6496 0.1496 0.0000  6 Co 2.30-2.32
Be 0.8504 0.6496 0.0000  6 Co 2.30-2.32
Nb 0.0000 0.0000 0.5000  4 Co 2.49, 2 Nb 2.65
Nb 0.5000 0.5000 0.5000  4 Co 2.49, 2 Nb 2.65
Co 0.1416 0.6416 0.5000  6 Be 2.30-2.32, 2 Nb 2.49
Co 0.3584 0.1416 0.5000  6 Be 2.30-2.32, 2 Nb 2.49
Co 0.6416 0.8584 0.5000  6 Be 2.30-2.32, 2 Nb 2.49
Co 0.8584 0.3584 0.5000  6 Be 2.30-2.32, 2 Nb 2.49

Calculated values
energy relative to the lowest polymorph listed for this composition	105	meV/atom
energy of formation from the pure elements	-0.10	eV/atom
SG	P4/mbm, No. 127
calculated volume	11.1	Å³ per atom
M_tot	0.00	μB per formula unit
crystal system	tetragonal

***

Q: What is the calculated volume in the second record?
A: 11.1 Å³ per atom